# Pm12SmCd3 PBE relaxed
# - energy relative to the elements (kJ/mol of formula units) = -106
# - calculated volume (Å³/atom) = 31.35
# - space-group type = P4/mmm (123)
# - final energy (eV per atom) = -4.098
data_Pm12SmCd3
_chemical_formula_sum 'Pm12 Sm1 Cd3'
_symmetry_space_group_name_H-M 'P 1'
_symmetry_Int_Tables_number 1
_symmetry_space_group_name_Hall 'P 1'
_cell_length_a 4.9815
_cell_length_b 4.9815
_cell_length_c 20.2107
_cell_angle_alpha 90.00
_cell_angle_beta 90.00
_cell_angle_gamma 90.00
loop_
_atom_site_label
_atom_site_type_symbol
_atom_site_fract_x
_atom_site_fract_y
_atom_site_fract_z
_atom_site_occupancy
Pm1 Pm 0.0000 0.0000 0.0000 1
Pm2 Pm 0.0000 0.0000 0.2447 1
Pm3 Pm 0.0000 0.0000 0.5000 1
Pm4 Pm 0.0000 0.0000 0.7553 1
Pm5 Pm 0.0000 0.5000 0.1223 1
Pm6 Pm 0.0000 0.5000 0.3687 1
Pm7 Pm 0.0000 0.5000 0.6313 1
Pm8 Pm 0.0000 0.5000 0.8777 1
Pm9 Pm 0.5000 0.0000 0.1223 1
Pm10 Pm 0.5000 0.0000 0.3687 1
Pm11 Pm 0.5000 0.0000 0.6313 1
Pm12 Pm 0.5000 0.0000 0.8777 1
Sm1 Sm 0.5000 0.5000 0.5000 1
Cd1 Cd 0.5000 0.5000 0.0000 1
Cd2 Cd 0.5000 0.5000 0.2428 1
Cd3 Cd 0.5000 0.5000 0.7572 1